1.
The following is a PBE-GGA calculation of a relaxed HoTm6Co2 crystal, from the Alexandria database.

Structure (POSCAR):
```
HoTm6Co2
1.0
-1.549 8.232 -0.265
0.611 -3.307 -7.677
-6.317 -3.923 3.867
Ho Tm Co
2 12 4
Direct
0.000 0.500 0.500
0.000 0.000 0.000
0.472 0.286 0.186
0.528 0.714 0.814
0.900 0.714 0.186
0.100 0.286 0.814
0.215 0.757 0.972
0.785 0.243 0.028
0.785 0.757 0.542
0.215 0.243 0.458
0.314 0.996 0.681
0.686 0.004 0.319
0.686 0.367 0.681
0.314 0.633 0.319
0.500 0.386 0.886
0.500 0.614 0.114
0.310 0.000 0.310
0.690 0.000 0.690
```

Space group   Immm (71)
Energy relative to the elements   -90.2 meV per atom
DOS at the Fermi energy   9.99 states/eV/f.u.
Spin magnetization   0.0 μB per formula unit



2.
The following is a PBE-GGA calculation of a relaxed ScTeC crystal, from the Alexandria database.

Structure (POSCAR):
```
ScTeC
1.0
-1.710 -1.896 3.248
3.768 -0.895 1.461
-0.968 7.982 1.523
Te C Sc
2 2 2
Direct
0.681 0.181 0.362
0.319 0.819 0.638
0.651 0.500 0.000
0.349 0.500 0.000
0.118 0.618 0.236
0.882 0.382 0.764
```

Space group   Immm (71)
Formation energy without anion corrections   -0.348 eV per atom
DOS at the Fermi energy   0.54 states/eV/f.u.
Spin magnetization   0.0 μB per formula unit



3.
The following is a PBE-GGA calculation of a relaxed ScAuSeN2 crystal, from the Alexandria database.

Structure (POSCAR):
```
ScAuSeN2
1.0
-0.700 -3.122 -2.512
2.237 -2.420 2.384
-4.181 -1.221 2.683
Sc Au Se N
1 1 1 2
Direct
0.500 0.500 0.500
0.000 0.000 0.000
0.000 0.000 0.500
0.000 0.500 0.000
0.500 0.000 0.000
```

Space group   P4/mmm (123)
Formation energy without anion corrections   1.056 eV per atom
DOS at the Fermi energy   4.58 states/eV/f.u.
Spin magnetization   0.0 μB per formula unit



no.,V (Å³/cell)
1,452
2,131
3,85